No. 1
DFT (PBE) results for a relaxed NaCu4Te2 crystal.

Structure (POSCAR):
```
NaCu4Te2
1.0
4.2437 0.0000 0.0000
2.1218 3.6751 0.0000
2.1218 1.2250 8.7748
Na Cu Te
1 4 2
direct
0.0000 0.0000 0.0000
0.4520 0.4520 0.6441
0.1574 0.1574 0.5278
0.5480 0.5480 0.3559
0.8426 0.8426 0.4722
0.2563 0.2563 0.2312
0.7437 0.7437 0.7688
```

## Properties
SG: R-3m
Theoretical density (g/cm3): 6.46

No. 2
DFT (PBE) results for a relaxed NaCu2Te2 crystal.

Structure (POSCAR):
```
NaCu2Te2
1.0
-3.4484 -1.2161 -2.0509
1.8459 -10.0506 2.8559
-5.8254 1.4663 8.9256
Na Cu Te
4 8 8
direct
0.2500 0.2801 0.8244
0.7500 0.2199 0.3244
0.7500 0.7199 0.1756
0.2500 0.7801 0.6756
0.7500 0.4578 0.5825
0.2500 0.0422 0.0825
0.2500 0.5422 0.4175
0.7500 0.9578 0.9175
0.2500 0.0668 0.5407
0.7500 0.4332 0.0407
0.7500 0.9332 0.4593
0.2500 0.5668 0.9593
0.7500 0.0389 0.6816
0.2500 0.4611 0.1816
0.2500 0.9611 0.3184
0.7500 0.5389 0.8184
0.2500 0.3244 0.5358
0.7500 0.1756 0.0358
0.7500 0.6756 0.4642
0.2500 0.8244 0.9642
```

## Properties
SG: Pnma
Theoretical density (g/cm3): 5.62

No. 3
DFT (PBE) results for a relaxed NaCu3Te3 crystal.

Structure (POSCAR):
```
NaCu3Te3
1.0
-0.4622 -2.0005 6.7288
1.0376 -6.7354 1.7465
8.2437 -1.4126 3.8239
Na Cu Te
2 6 6
direct
0.3337 0.3337 0.9988
0.6663 0.6663 0.0012
0.4744 0.8007 0.5862
0.8007 0.1386 0.5862
0.1386 0.4744 0.5862
0.8614 0.5256 0.4138
0.1993 0.8614 0.4138
0.5256 0.1993 0.4138
0.2387 0.5793 0.2712
0.9107 0.2387 0.2712
0.5793 0.9107 0.2712
0.4207 0.0893 0.7288
0.0893 0.7613 0.7288
0.7613 0.4207 0.7288
```

## Properties
SG: R-3
Theoretical density (g/cm3): 5.60

No. 4
DFT (PBE) results for a relaxed NaCuTe2 crystal.

Structure (POSCAR):
```
NaCuTe2
1.0
8.0167 0.0000 0.0000
0.0000 8.0167 0.0000
4.0083 4.0083 3.1770
Na Te Cu
2 4 2
direct
0.5000 0.5000 0.0000
0.2500 0.7500 0.5000
0.6889 0.1250 0.2500
0.0611 0.6250 0.2500
0.3750 0.3111 0.7500
0.8750 0.9389 0.7500
0.0000 0.0000 0.0000
0.7500 0.2500 0.5000
```

## Properties
SG: I-42d
Theoretical density (g/cm3): 5.56

Energy relative to the elements, uncorrected: -0.15; -0.31; -0.25; -0.32 (eV per atom)
V: 136.9; 478.6; 353.6; 204.2 (Å³/cell)